(1)
First-principles (PBE) data for crystalline Cs2TeClF6 at its relaxed geometry, as listed in Alexandria via LeMat-Bulk.

Properties
The total magnetization comes out at 0.14 Bohr magnetons per cell. As for the symmetry: No. 166. As for the total energy: -3.952 eV per atom.

Unit cell a=6.2800 b=6.2800 c=14.9141 alpha=77.85 beta=77.85 gamma=60.00
With the nearest neighbours (Å) after each atom.
Positions (direct):
1 F 0.3610 0.8545 0.4236  1 Te 2.10
2 Cl 0.4098 0.4098 0.7706  6 F 3.02-3.33
3 F 0.8314 0.8314 0.0775  1 Te 1.92
4 F 0.1686 0.7404 0.9225  1 Te 1.92
5 Te 0.0000 0.0000 0.0000  6 F 1.92
6 Cl 0.5902 0.5902 0.2294  6 F 3.02-3.33
7 Cs 0.2582 0.2582 0.2254  9 F 3.40-3.81, 3 Cl 3.63
8 F 0.8545 0.3610 0.4236  1 Te 2.10
9 Cs 0.8690 0.8690 0.3931  9 F 3.17-3.23
10 F 0.6390 0.6390 0.5764  1 Te 2.10
11 F 0.1455 0.6390 0.5764  1 Te 2.10
12 Cs 0.1310 0.1310 0.6069  9 F 3.17-3.23
13 F 0.6390 0.1455 0.5764  1 Te 2.10
14 F 0.8314 0.2596 0.0775  1 Te 1.92
15 F 0.1686 0.1686 0.9225  1 Te 1.92
16 F 0.3610 0.3610 0.4236  1 Te 2.10
17 F 0.7404 0.1686 0.9225  1 Te 1.92
18 F 0.2596 0.8314 0.0775  1 Te 1.92
19 Te 0.5000 0.5000 0.5000  6 F 2.10
20 Cs 0.7418 0.7418 0.7746  9 F 3.40-3.81, 3 Cl 3.63

=====

(2)
First-principles (PBE) data for crystalline AgAs2Se at its relaxed geometry, as listed in Alexandria via LeMat-Bulk.

Properties
The calculation puts the density of states at the Fermi level at 0.27 states/eV per atom. The total magnetization comes out at 0.00 Bohr magnetons per cell. As for the symmetry: No. 35. As for the total energy: -3.563 eV per atom.

Unit cell a=2.9790 b=2.9790 c=9.6469 alpha=90.00 beta=90.00 gamma=107.33
With the nearest neighbours (Å) after each atom.
Positions (direct):
1 As 0.5000 0.5000 0.2120  6 As 2.69-2.98
2 As 0.0000 0.0000 0.0017  6 As 2.69-2.98, 2 Ag 2.93
3 Se 0.0000 0.0000 0.5274  2 Ag 2.85, 4 Se 2.98
4 Ag 0.5000 0.5000 0.7588  2 Se 2.85, 2 As 2.93, 4 Ag 2.98

=====

(3)
First-principles (PBE) data for crystalline CuSiCl2 at its relaxed geometry, as listed in Alexandria via LeMat-Bulk.

Properties
The calculation puts the density of states at the Fermi level at 0.12 states/eV per atom. The total magnetization comes out at 0.00 Bohr magnetons per cell. As for the symmetry: No. 10. As for the total energy: -3.247 eV per atom.

Unit cell a=3.5674 b=3.2226 c=7.5220 alpha=108.79 beta=90.00 gamma=90.00
With the nearest neighbours (Å) after each atom.
Positions (direct):
1 Cl 0.0000 0.5434 0.4720  2 Cu 2.42, 2 Si 2.67
2 Cu 0.5000 0.2500 0.2500  4 Cl 2.42
3 Si 0.5000 0.7500 0.7500  4 Cl 2.67
4 Cl 0.0000 0.9566 0.0280  2 Cu 2.42, 2 Si 2.67

=====

(4)
First-principles (PBE) data for crystalline SrBiCl3 at its relaxed geometry, as listed in Alexandria via LeMat-Bulk.

Properties
The calculation puts the density of states at the Fermi level at 1.53 states/eV per atom. The total magnetization comes out at 2.00 Bohr magnetons per cell. As for the symmetry: No. 221. As for the total energy: -3.386 eV per atom.

Unit cell a=5.6464 b=5.6464 c=5.6464 alpha=90.00 beta=90.00 gamma=90.00
With the nearest neighbours (Å) after each atom.
Positions (direct):
1 Sr 0.0000 0.0000 0.0000  6 Cl 2.82
2 Cl 0.5000 0.0000 0.0000  2 Sr 2.82
3 Cl 0.0000 0.5000 0.0000  2 Sr 2.82
4 Cl 0.0000 0.0000 0.5000  2 Sr 2.82
5 Bi 0.5000 0.5000 0.5000  12 Cl 3.99